Entry 1:
NaLiGe2Ir | PBE | relaxed

## Properties
**Fermi-level density of states**: 0.602 states/eV/atom
**ΔH_f (0 K)**: -0.103 eV/atom
**Crystal system**: tetragonal

Unit cell a=4.7649 b=4.7649 c=4.9610 alpha=90.00 beta=90.00 gamma=90.00
Space group P4/mmm (No. 123)
Symmetry-distinct sites (fractional):
Na (0.0000, 0.0000, 0.0000) x1
Li (0.5000, 0.5000, 0.0000) x1
Ge (0.0000, 0.5000, 0.5000) x2
Ir (0.5000, 0.5000, 0.5000) x1


Entry 2:
Y2HoTm3As6 | PBE | relaxed

## Properties
**Fermi-level density of states**: 0.154 states/eV/atom
**ΔH_f (0 K)**: -1.526 eV/atom
**Crystal system**: monoclinic

Unit cell a=17.8221 b=4.0901 c=8.1774 alpha=90.00 beta=103.23 gamma=90.00
Space group C2/m (No. 12)
Symmetry-distinct sites (fractional):
Y (0.1666, 0.0000, 0.3331) x4
Ho (0.0000, 0.5000, 0.0000) x2
Tm (0.0000, 0.5000, 0.5000) x2
Tm (0.1667, 0.0000, 0.8334) x4
As (0.0010, 0.0000, 0.7490) x4
As (0.1657, 0.5000, 0.5856) x4
As (0.1671, 0.5000, 0.0806) x4


Entry 3:
Tb2ScBiO6 | PBE | relaxed

## Properties
**Fermi-level density of states**: 0.000 states/eV/atom
**Crystal system**: tetragonal
**Formation energy (no corrections)**: -26.69 eV per formula unit

Unit cell a=5.3900 b=5.3900 c=5.5488 alpha=90.00 beta=90.00 gamma=90.00
Space group P4mm (No. 99)
Symmetry-distinct sites (fractional):
Tb (0.0000, 0.5000, 0.0000) x2
Sc (0.0000, 0.0000, 0.6112) x1
Bi (0.5000, 0.5000, 0.5755) x1
O (0.0000, 0.0000, 0.2535) x1
O (0.2416, 0.2416, 0.7784) x4
O (0.5000, 0.5000, 0.1659) x1